No. 1
This record from Alexandria describes crystalline NbSiAu2S at its relaxed geometry. The functional is PBE-GGA.

CIF file:
```
data_NbSiAu2S
_symmetry_space_group_name_H-M 'P 4/m m m'
_symmetry_Int_Tables_number 123
_symmetry_space_group_name_Hall '-P 4 2'
_cell_length_a 4.672
_cell_length_b 4.672
_cell_length_c 4.539
_cell_angle_alpha 90.00
_cell_angle_beta 90.00
_cell_angle_gamma 90.00
loop_
_atom_site_label
_atom_site_type_symbol
_atom_site_fract_x
_atom_site_fract_y
_atom_site_fract_z
Nb1 Nb 0.000 0.000 0.000
Si1 Si 0.500 0.500 0.000
Au1 Au 0.000 0.500 0.500
S1 S 0.500 0.500 0.500
```

* VASP energy: -4.314 eV/atom
* E_form (uncorrected): 4.605 eV/f.u.

=====

No. 2
This record from Alexandria describes crystalline NbTcAuS2 at its relaxed geometry. The functional is PBE-GGA.

CIF file:
```
data_NbTcAuS2
_symmetry_space_group_name_H-M 'P 4/m m m'
_symmetry_Int_Tables_number 123
_symmetry_space_group_name_Hall '-P 4 2'
_cell_length_a 4.478
_cell_length_b 4.478
_cell_length_c 5.234
_cell_angle_alpha 90.00
_cell_angle_beta 90.00
_cell_angle_gamma 90.00
loop_
_atom_site_label
_atom_site_type_symbol
_atom_site_fract_x
_atom_site_fract_y
_atom_site_fract_z
Nb1 Nb 0.000 0.000 0.000
Tc1 Tc 0.500 0.500 0.500
Au1 Au 0.500 0.500 0.000
S1 S 0.000 0.500 0.500
```

* VASP energy: -5.687 eV/atom
* E_form (uncorrected): 3.532 eV/f.u.

=====

DOS(E_F)? In order: 3.81 5.10 states/eV per cell.